# PBE-GGA MgV3As, optimized geometry
data_MgV3As
_space_group_name_H-M_alt 'P m -3 m'
_space_group_IT_number 221
_space_group_name_Hall '-P 4 2 3'
_cell_length_a 4.618
_cell_length_b 4.618
_cell_length_c 4.618
_cell_angle_alpha 90.00
_cell_angle_beta 90.00
_cell_angle_gamma 90.00
loop_
_atom_site_label
_atom_site_fract_x
_atom_site_fract_y
_atom_site_fract_z
Mg1 0.000 0.000 0.000
V1 0.000 0.000 0.500
As1 0.500 0.500 0.500
# - Total moment: 1.153 μB/atom
# - Energy of formation from the pure elements: 1652 meV/atom